Here is an optimized crystal structure of UZn2In from Alexandria. Energies are from PBE-GGA. Values from VASP.

Output
Space-group type: P4/mmm
Total magnetization, μB per cell: 3.1
Energy of formation from the pure elements, eV per atom: 0.18

The structure in Quantum ESPRESSO input format:
```
&SYSTEM
  ibrav = 0, nat = 4, ntyp = 3
/
ATOMIC_SPECIES
U 238.03 U.upf
Zn 65.41 Zn.upf
In 114.82 In.upf
ATOMIC_POSITIONS crystal
U 0.000 0.000 0.000
Zn 0.000 0.500 0.500
Zn 0.500 0.000 0.500
In 0.500 0.500 0.000
CELL_PARAMETERS angstrom
4.587 0.000 0.000
0.000 4.587 0.000
0.000 0.000 4.061
```

---

Here is an optimized crystal structure of YMgZr from Alexandria. Energies are from PBE-GGA. Values from VASP.

Output
Space-group type: Imm2
Total magnetization, μB per cell: 0.0
Energy above the lowest structure with this stoichiometry, eV per atom: 0.123
Energy of formation from the pure elements, eV per atom: 0.13

The structure in Quantum ESPRESSO input format:
```
&SYSTEM
  ibrav = 0, nat = 3, ntyp = 3
/
ATOMIC_SPECIES
Y 88.91 Y.upf
Mg 24.30 Mg.upf
Zr 91.22 Zr.upf
ATOMIC_POSITIONS crystal
Y 0.000 0.000 0.000
Mg 0.331 0.331 0.000
Zr 0.679 0.679 0.000
CELL_PARAMETERS angstrom
-1.639 2.275 5.087
1.639 -2.275 5.087
1.639 2.275 -5.087
```